Version P
{"formula": "PmMg2Rh3", "functional": "GGA-PBE", "state": "relaxed", "lattice_angstrom": [[4.6025, 0.0000, 0.0000], [-2.3013, 3.9859, 0.0000], [0.0000, 0.0000, 5.6873]], "species": ["Pm", "Mg", "Mg", "Rh", "Rh", "Rh"], "frac_coords": [[0.0000, 0.0000, 0.0000], [0.6667, 0.3333, 0.3464], [0.3333, 0.6667, 0.6536], [0.0000, 0.0000, 0.5000], [0.6667, 0.3333, 0.8182], [0.3333, 0.6667, 0.1818]], "space_group": "P-3m1", "volume_a3_per_fu": 104.3}

Version Q
{"formula": "PmMg2Rh3", "functional": "GGA-PBE", "state": "relaxed", "lattice_angstrom": [[-4.2640, -1.7156, 0.1177], [3.6161, -2.8361, -0.1386], [0.3563, -0.1030, 11.4048]], "species": ["Pm", "Pm", "Mg", "Mg", "Mg", "Mg", "Rh", "Rh", "Rh", "Rh", "Rh", "Rh"], "frac_coords": [[0.3333, 0.6667, 0.6743], [0.6667, 0.3333, 0.3257], [0.0000, 0.0000, 0.5000], [0.3333, 0.6667, 0.1531], [0.6667, 0.3333, 0.8469], [0.0000, 0.0000, 0.0000], [0.3333, 0.6667, 0.4170], [0.6667, 0.3333, 0.0781], [0.0000, 0.0000, 0.7619], [0.0000, 0.0000, 0.2381], [0.3333, 0.6667, 0.9219], [0.6667, 0.3333, 0.5830]], "space_group": "P-3m1", "volume_a3_per_fu": 104.4}

What are the relative energies? In kJ/mol of atoms: version P 0.0; version Q 1.3.